A plane-wave DFT calculation with SCAN was carried out for a crystal of FeBS2 relaxed with PBEsol.

Its space group is I-42d, No. 122. As for the energy relative to the elements, uncorrected: -15.72 kJ per mole of atoms.

Cell: 4.7481 4.7481 5.5944 Å, 115.11 115.11 90.00°
Last column: nearest neighbours and their distance in Å.
Element x y z (fractional)
S 0.4088 0.8750 0.2500  2 B 1.93, 2 Fe 2.12
S 0.8412 0.3750 0.2500  2 B 1.93, 2 Fe 2.12
S 0.1250 0.1588 0.7500  2 B 1.93, 2 Fe 2.12
S 0.6250 0.5913 0.7500  2 B 1.93, 2 Fe 2.12
B 0.7500 0.2500 0.5000  4 S 1.93
B 0.5000 0.5000 0.0000  4 S 1.93
Fe 0.2500 0.7500 0.5000  4 S 2.12
Fe 0.0000 0.0000 0.0000  4 S 2.12

A plane-wave DFT calculation with SCAN was carried out for a crystal of Fe2BS relaxed with PBEsol.

Its space group is Fm-3m, No. 225. As for the energy relative to the elements, uncorrected: 45.07 kJ per mole of atoms.

Cell: 3.6995 3.6995 3.6995 Å, 60.00 60.00 60.00°
Last column: nearest neighbours and their distance in Å.
Element x y z (fractional)
S 0.5000 0.5000 0.5000  8 Fe 2.27
B 0.0000 0.0000 0.0000  8 Fe 2.27
Fe 0.2500 0.2500 0.2500  4 S 2.27, 4 B 2.27
Fe 0.7500 0.7500 0.7500  4 S 2.27, 4 B 2.27

A plane-wave DFT calculation with SCAN was carried out for a crystal of Fe2BSb relaxed with PBEsol.

Its space group is Fm-3m, No. 225. As for the energy relative to the elements, uncorrected: 75.18 kJ per mole of atoms.

Cell: 3.9973 3.9973 3.9973 Å, 60.00 60.00 60.00°
Last column: nearest neighbours and their distance in Å.
Element x y z (fractional)
Sb 0.5000 0.5000 0.5000  8 Fe 2.45
B 0.0000 0.0000 0.0000  8 Fe 2.45
Fe 0.2500 0.2500 0.2500  4 Sb 2.45, 4 B 2.45
Fe 0.7500 0.7500 0.7500  4 Sb 2.45, 4 B 2.45

A plane-wave DFT calculation with SCAN was carried out for a crystal of FeBSb2 relaxed with PBEsol.

Its space group is I-42d, No. 122. As for the energy relative to the elements, uncorrected: 54.69 kJ per mole of atoms.

Cell: 5.7507 6.4504 5.7507 Å, 63.53 90.00 116.47°
Last column: nearest neighbours and their distance in Å.
Element x y z (fractional)
Sb 0.5890 0.7500 0.3750  2 B 2.27, 2 Fe 2.52
Sb 0.1610 0.7500 0.8750  2 B 2.27, 2 Fe 2.52
Sb 0.8750 0.2500 0.5890  2 B 2.27, 2 Fe 2.52
Sb 0.3750 0.2500 0.1610  2 B 2.27, 2 Fe 2.52
B 0.2500 0.5000 0.2500  4 Sb 2.27
B 0.5000 0.0000 0.5000  4 Sb 2.27
Fe 0.7500 0.5000 0.7500  4 Sb 2.52
Fe 0.0000 0.0000 0.0000  4 Sb 2.52

A plane-wave DFT calculation with SCAN was carried out for a crystal of Sc2FeB relaxed with PBEsol.

As for the formation energy: 1.68 eV per formula unit. Its space group is R-3m, No. 166.

Cell: 3.0278 3.0278 8.2914 Å, 79.48 79.48 60.00°
Last column: nearest neighbours and their distance in Å.
Element x y z (fractional)
Sc 0.8989 0.8989 0.3034  3 B 2.37, 1 Fe 2.46
Sc 0.1011 0.1011 0.6966  3 B 2.37, 1 Fe 2.46
B 0.5000 0.5000 0.5000  6 Sc 2.37
Fe 0.0000 0.0000 0.0000  2 Sc 2.46

A plane-wave DFT calculation with SCAN was carried out for a crystal of FeB3Se relaxed with PBEsol.

Its space group is Pm-3m, No. 221. As for the energy relative to the elements, uncorrected: 129.41 kJ per mole of atoms.

Cell: 3.8542 3.8542 3.8542 Å, 90.00 90.00 90.00°
Last column: nearest neighbours and their distance in Å.
Element x y z (fractional)
B 0.0000 0.5000 0.0000  2 Fe 1.93
B 0.0000 0.0000 0.5000  2 Fe 1.93
B 0.5000 0.0000 0.0000  2 Fe 1.93
Fe 0.0000 0.0000 0.0000  6 B 1.93
Se 0.5000 0.5000 0.5000  12 B 2.73

A plane-wave DFT calculation with SCAN was carried out for a crystal of SmFeB4 relaxed with PBEsol.

As for the formation energy: -3.20 eV per formula unit. Its space group is Pbam, No. 55.

Cell: 3.3863 5.9239 11.4680 Å, 90.00 90.00 90.00°
Last column: nearest neighbours and their distance in Å.
Element x y z (fractional)
Sm 0.0000 0.3745 0.6506  14 B 2.60-2.71
Sm 0.0000 0.6255 0.3494  14 B 2.60-2.71
Sm 0.0000 0.8745 0.8494  14 B 2.60-2.71
Sm 0.0000 0.1255 0.1506  14 B 2.60-2.71
Fe 0.0000 0.3690 0.9127  10 B 2.19-2.28
Fe 0.0000 0.6310 0.0873  10 B 2.19-2.28
Fe 0.0000 0.8690 0.5873  10 B 2.19-2.28
Fe 0.0000 0.1310 0.4127  10 B 2.19-2.28
B 0.5000 0.0242 0.6885  3 B 1.72-1.89
B 0.5000 0.9758 0.3115  3 B 1.72-1.89
B 0.5000 0.5242 0.8115  3 B 1.72-1.89
B 0.5000 0.4758 0.1885  3 B 1.72-1.89
B 0.5000 0.1104 0.5451  3 B 1.67-1.72
B 0.5000 0.8896 0.4549  3 B 1.67-1.72
B 0.5000 0.6104 0.9549  3 B 1.67-1.72
B 0.5000 0.3896 0.0451  3 B 1.67-1.72
B 0.5000 0.2783 0.3176  3 B 1.78-1.89
B 0.5000 0.7217 0.6824  3 B 1.78-1.89
B 0.5000 0.7783 0.1824  3 B 1.78-1.89
B 0.5000 0.2217 0.8176  3 B 1.78-1.89
B 0.5000 0.3586 0.4676  3 B 1.72-1.83
B 0.5000 0.6414 0.5324  3 B 1.72-1.83
B 0.5000 0.8586 0.0324  3 B 1.72-1.83
B 0.5000 0.1414 0.9676  3 B 1.72-1.83

A plane-wave DFT calculation with SCAN was carried out for a crystal of Sm2Fe17B3 relaxed with PBEsol.

As for the formation energy: -0.97 eV per formula unit. Its space group is R-3m, No. 166.

Cell: 6.4292 6.4292 6.4292 Å, 83.96 83.96 83.96°
Last column: nearest neighbours and their distance in Å.
Element x y z (fractional)
Sm 0.6548 0.6548 0.6548  3 B 2.49
Sm 0.3452 0.3452 0.3452  3 B 2.49
Fe 0.0000 0.0000 0.5000  10 Fe 2.40-2.63
Fe 0.0000 0.5000 0.0000  10 Fe 2.40-2.63
Fe 0.5000 0.0000 0.0000  10 Fe 2.40-2.63
Fe 0.2776 0.7224 0.0000  1 B 1.91
Fe 0.7224 0.0000 0.2776  1 B 1.91
Fe 0.0000 0.2776 0.7224  1 B 1.91
Fe 0.2776 0.0000 0.7224  1 B 1.91
Fe 0.0000 0.7224 0.2776  1 B 1.91
Fe 0.7224 0.2776 0.0000  1 B 1.91
Fe 0.3369 0.3369 0.8511  1 B 1.94
Fe 0.3369 0.8511 0.3369  1 B 1.94
Fe 0.8511 0.3369 0.3369  1 B 1.94
Fe 0.6631 0.6631 0.1489  1 B 1.94
Fe 0.6631 0.1489 0.6631  1 B 1.94
Fe 0.1489 0.6631 0.6631  1 B 1.94
Fe 0.9043 0.9043 0.9043  4 Fe 2.35-2.60
Fe 0.0957 0.0957 0.0957  4 Fe 2.35-2.60
B 0.5000 0.5000 0.0000  4 Fe 1.91-1.94
B 0.5000 0.0000 0.5000  4 Fe 1.91-1.94
B 0.0000 0.5000 0.5000  4 Fe 1.91-1.94

A plane-wave DFT calculation with SCAN was carried out for a crystal of TaFeB relaxed with PBEsol.

As for the formation energy: -1.59 eV per formula unit. Its space group is P-62m, No. 189.

Cell: 3.1677 5.9094 5.9094 Å, 120.00 90.00 90.00°
Last column: nearest neighbours and their distance in Å.
Element x y z (fractional)
Ta 0.5000 0.5885 0.5885  5 B 2.39-2.43, 6 Fe 2.60-2.64
Ta 0.5000 0.0000 0.4115  5 B 2.39-2.43, 6 Fe 2.60-2.64
Ta 0.5000 0.4115 0.0000  5 B 2.39-2.43, 6 Fe 2.60-2.64
Fe 0.0000 0.2388 0.2388  4 B 2.12-2.30
Fe 0.0000 0.0000 0.7612  4 B 2.12-2.30
Fe 0.0000 0.7612 0.0000  4 B 2.12-2.30
B 0.0000 0.6667 0.3333  3 Fe 2.30, 6 Ta 2.39
B 0.0000 0.3333 0.6667  3 Fe 2.30, 6 Ta 2.39
B 0.5000 0.0000 0.0000  6 Fe 2.12

A plane-wave DFT calculation with SCAN was carried out for a crystal of TaFeB3 relaxed with PBEsol.

As for the formation energy: 8.16 eV per formula unit. Its space group is Pm-3m, No. 221.

Cell: 4.1457 4.1457 4.1457 Å, 90.00 90.00 90.00°
Last column: nearest neighbours and their distance in Å.
Element x y z (fractional)
B 0.0000 0.5000 0.0000  2 Ta 2.07
B 0.0000 0.0000 0.5000  2 Ta 2.07
B 0.5000 0.0000 0.0000  2 Ta 2.07
Fe 0.5000 0.5000 0.5000  12 B 2.93
Ta 0.0000 0.0000 0.0000  6 B 2.07

A plane-wave DFT calculation with SCAN was carried out for a crystal of TaFeTc2B relaxed with PBEsol.

As for the formation energy: 12.76 eV per formula unit. Its space group is P4/mmm, No. 123.

Cell: 4.4184 4.6459 4.6459 Å, 90.00 90.00 90.00°
Last column: nearest neighbours and their distance in Å.
Element x y z (fractional)
Fe 0.5000 0.0000 0.0000  2 Ta 2.21
B 0.5000 0.5000 0.5000  8 Tc 3.21, 4 Fe 3.29
Tc 0.0000 0.0000 0.5000  2 Ta 2.32
Tc 0.0000 0.5000 0.0000  2 Ta 2.32
Ta 0.0000 0.0000 0.0000  2 Fe 2.21, 4 Tc 2.32

A plane-wave DFT calculation with SCAN was carried out for a crystal of YTaFe2B relaxed with PBEsol.

As for the formation energy: 9.40 eV per formula unit. Its space group is P4/mmm, No. 123.

Cell: 4.3319 4.3319 5.5457 Å, 90.00 90.00 90.00°
Last column: nearest neighbours and their distance in Å.
Element x y z (fractional)
Y 0.0000 0.0000 0.5000  2 Ta 2.77, 4 B 3.06
B 0.5000 0.5000 0.5000  4 Y 3.06
Fe 0.0000 0.5000 0.0000  2 Ta 2.17
Fe 0.5000 0.0000 0.0000  2 Ta 2.17
Ta 0.0000 0.0000 0.0000  4 Fe 2.17

A plane-wave DFT calculation with SCAN was carried out for a crystal of TbFeB4 relaxed with PBEsol.

As for the formation energy: -3.67 eV per formula unit. Its space group is Pbam, No. 55.

Cell: 3.3371 5.8680 11.3573 Å, 90.00 90.00 90.00°
Last column: nearest neighbours and their distance in Å.
Element x y z (fractional)
Tb 0.5000 0.3736 0.1503  14 B 2.56-2.68
Tb 0.5000 0.6264 0.8497  14 B 2.56-2.68
Tb 0.5000 0.1264 0.6503  14 B 2.56-2.68
Tb 0.5000 0.8736 0.3497  14 B 2.56-2.68
Fe 0.5000 0.3681 0.4121  10 B 2.17-2.26
Fe 0.5000 0.6319 0.5879  10 B 2.17-2.26
Fe 0.5000 0.1319 0.9121  10 B 2.17-2.26
Fe 0.5000 0.8681 0.0879  10 B 2.17-2.26
B 0.0000 0.1112 0.0458  3 B 1.67-1.72
B 0.0000 0.8888 0.9542  3 B 1.67-1.72
B 0.0000 0.3888 0.5458  3 B 1.67-1.72
B 0.0000 0.6112 0.4542  3 B 1.67-1.72
B 0.0000 0.1396 0.4678  3 B 1.71-1.79
B 0.0000 0.8604 0.5322  3 B 1.71-1.79
B 0.0000 0.3604 0.9678  3 B 1.71-1.79
B 0.0000 0.6396 0.0322  3 B 1.71-1.79
B 0.0000 0.0244 0.1900  3 B 1.72-1.84
B 0.0000 0.9756 0.8100  3 B 1.72-1.84
B 0.0000 0.4756 0.6900  3 B 1.72-1.84
B 0.0000 0.5244 0.3100  3 B 1.72-1.84
B 0.0000 0.2191 0.3166  3 B 1.78-1.84
B 0.0000 0.7809 0.6834  3 B 1.78-1.84
B 0.0000 0.2809 0.8166  3 B 1.78-1.84
B 0.0000 0.7191 0.1834  3 B 1.78-1.84

A plane-wave DFT calculation with SCAN was carried out for a crystal of FeTc2B2 relaxed with PBEsol.

As for the formation energy: -1.42 eV per formula unit. Its space group is P4/mbm, No. 127.

Cell: 3.3766 5.3351 5.3351 Å, 90.00 90.00 90.00°
Last column: nearest neighbours and their distance in Å.
Element x y z (fractional)
B 0.0000 0.3787 0.8787  1 B 1.83
B 0.0000 0.8787 0.6213  1 B 1.83
B 0.0000 0.6213 0.1213  1 B 1.83
B 0.0000 0.1213 0.3787  1 B 1.83
Tc 0.5000 0.1772 0.6772  6 B 2.27-2.34
Tc 0.5000 0.6772 0.8228  6 B 2.27-2.34
Tc 0.5000 0.8228 0.3228  6 B 2.27-2.34
Tc 0.5000 0.3228 0.1772  6 B 2.27-2.34
Fe 0.0000 0.0000 0.0000  4 B 2.12
Fe 0.0000 0.5000 0.5000  4 B 2.12

A plane-wave DFT calculation with SCAN was carried out for a crystal of TlFeTc2B relaxed with PBEsol.

As for the formation energy: 12.91 eV per formula unit. Its space group is P4/mmm, No. 123.

Cell: 3.9400 5.0171 5.0171 Å, 90.00 90.00 90.00°
Last column: nearest neighbours and their distance in Å.
Element x y z (fractional)
Tl 0.0000 0.0000 0.0000  2 B 1.97
B 0.5000 0.0000 0.0000  2 Tl 1.97
Tc 0.0000 0.0000 0.5000  2 Tl 2.51
Tc 0.0000 0.5000 0.0000  2 Tl 2.51
Fe 0.5000 0.5000 0.5000  8 Tc 3.19, 4 B 3.55

A plane-wave DFT calculation with SCAN was carried out for a crystal of FeBTe3 relaxed with PBEsol.

Its space group is Pm-3m, No. 221. As for the energy relative to the elements, uncorrected: 102.20 kJ per mole of atoms.

Cell: 4.7576 4.7576 4.7576 Å, 90.00 90.00 90.00°
Last column: nearest neighbours and their distance in Å.
Element x y z (fractional)
B 0.0000 0.0000 0.0000  6 Te 2.38
Te 0.0000 0.5000 0.0000  2 B 2.38
Te 0.0000 0.0000 0.5000  2 B 2.38
Te 0.5000 0.0000 0.0000  2 B 2.38
Fe 0.5000 0.5000 0.5000  12 Te 3.36

A plane-wave DFT calculation with SCAN was carried out for a crystal of FeBTe2 relaxed with PBEsol.

Its space group is R-3m, No. 166. As for the energy relative to the elements, uncorrected: 79.08 kJ per mole of atoms.

Cell: 3.7450 3.7450 7.1506 Å, 74.82 74.82 60.00°
Last column: nearest neighbours and their distance in Å.
Element x y z (fractional)
B 0.0000 0.0000 0.0000  2 Te 2.10
Te 0.8974 0.8974 0.3079  1 B 2.10
Te 0.1026 0.1026 0.6921  1 B 2.10
Fe 0.5000 0.5000 0.5000  6 Te 2.53

A plane-wave DFT calculation with SCAN was carried out for a crystal of TiFeB2Te relaxed with PBEsol.

Its space group is P4/mmm, No. 123. As for the energy relative to the elements, uncorrected: 70.42 kJ per mole of atoms.

Cell: 3.7989 3.7989 5.0612 Å, 90.00 90.00 90.00°
Last column: nearest neighbours and their distance in Å.
Element x y z (fractional)
B 0.0000 0.5000 0.0000  2 Fe 1.90
B 0.5000 0.0000 0.0000  2 Fe 1.90
Te 0.0000 0.0000 0.5000  2 Fe 2.53, 4 Ti 2.69
Fe 0.0000 0.0000 0.0000  4 B 1.90
Ti 0.5000 0.5000 0.5000  4 Te 2.69

A plane-wave DFT calculation with SCAN was carried out for a crystal of Th2FeB10 relaxed with PBEsol.

As for the formation energy: -7.83 eV per formula unit. Its space group is Pbam, No. 55.

Cell: 4.1569 5.5905 11.1537 Å, 90.00 90.00 90.00°
Last column: nearest neighbours and their distance in Å.
Element x y z (fractional)
Th 0.5000 0.2927 0.8681  20 B 2.85-3.05, 2 Fe 3.03
Th 0.5000 0.7073 0.1319  20 B 2.85-3.05, 2 Fe 3.03
Th 0.5000 0.7927 0.6319  20 B 2.85-3.05, 2 Fe 3.03
Th 0.5000 0.2073 0.3681  20 B 2.85-3.05, 2 Fe 3.03
Fe 0.0000 0.5000 0.5000  8 B 2.09-2.12
Fe 0.0000 0.0000 0.0000  8 B 2.09-2.12
B 0.0000 0.1281 0.5394  4 B 1.68-1.77
B 0.0000 0.8719 0.4606  4 B 1.68-1.77
B 0.0000 0.6281 0.9606  4 B 1.68-1.77
B 0.0000 0.3719 0.0394  4 B 1.68-1.77
B 0.0000 0.1497 0.6970  5 B 1.66-1.76
B 0.0000 0.8503 0.3030  5 B 1.66-1.76
B 0.2993 0.2027 0.1130  4 B 1.67-1.77
B 0.2993 0.7973 0.8870  4 B 1.67-1.77
B 0.7007 0.7027 0.3870  4 B 1.67-1.77
B 0.7007 0.2973 0.6130  4 B 1.67-1.77
B 0.7007 0.7973 0.8870  4 B 1.67-1.77
B 0.7007 0.2027 0.1130  4 B 1.67-1.77
B 0.2993 0.2973 0.6130  4 B 1.67-1.77
B 0.2993 0.7027 0.3870  4 B 1.67-1.77
B 0.0000 0.0370 0.1868  4 B 1.66-1.76
B 0.0000 0.9630 0.8132  4 B 1.66-1.76
B 0.0000 0.5370 0.3132  4 B 1.66-1.76
B 0.0000 0.4630 0.6868  4 B 1.66-1.76
B 0.0000 0.3503 0.1970  5 B 1.66-1.76
B 0.0000 0.6497 0.8030  5 B 1.66-1.76

A plane-wave DFT calculation with SCAN was carried out for a crystal of TlFeB3 relaxed with PBEsol.

As for the formation energy: 14.51 eV per formula unit. Its space group is Pm-3m, No. 221.

Cell: 4.3952 4.3952 4.3952 Å, 90.00 90.00 90.00°
Last column: nearest neighbours and their distance in Å.
Element x y z (fractional)
Tl 0.0000 0.0000 0.0000  6 B 2.20
B 0.0000 0.5000 0.0000  2 Tl 2.20
B 0.0000 0.0000 0.5000  2 Tl 2.20
B 0.5000 0.0000 0.0000  2 Tl 2.20
Fe 0.5000 0.5000 0.5000  12 B 3.11

no.,total moment (Bohr magnetons per cell),energy (Ry/atom),DOS(E_F) (states/eV per cell)
1,1.925,-0.835,2.18
2,0.852,-0.945,3.86
3,0.000,-1.430,0.71
4,5.808,-1.797,4.84
5,2.137,-0.962,2.78
6,2.149,-0.791,2.30
7,0.001,-1.170,4.97
8,37.672,-1.404,10.13
9,0.005,-2.296,5.40
10,3.529,-1.453,5.76
11,5.105,-2.198,3.50
12,3.052,-1.892,3.55
13,0.000,-1.204,4.91
14,4.174,-1.536,6.39
15,8.082,-2.280,5.35
16,3.790,-1.941,4.45
17,0.969,-1.778,1.83
18,1.655,-1.214,4.86
19,0.000,-1.651,5.43
20,2.905,-1.444,4.95